(1)
Material: RbHgPd3
Method: DFT, GGA-PBE
State: relaxed

## Properties
The value obtained for the magnetic moment is 0.00 μB/f.u. As for the space group: Pm-3m (221). The value obtained for the energy relative to the elements is 0.45 eV per atom. The electronic total energy comes out at -2.922 eV/atom. The density is 7.102 Mg/m³. The energy relative to the lowest polymorph listed for this composition comes out at 0.00 eV/f.u. The volume is 142 Å³/cell.

The structure in CIF format:
```
data_RbHgPd3
_symmetry_space_group_name_H-M 'P 1'
_symmetry_Int_Tables_number 1
_cell_length_a 5.211
_cell_length_b 5.211
_cell_length_c 5.211
_cell_angle_alpha 90.00
_cell_angle_beta 90.00
_cell_angle_gamma 90.00
loop_
_symmetry_equiv_pos_as_xyz
'x,y,z'
loop_
_atom_site_label
_atom_site_fract_x
_atom_site_fract_y
_atom_site_fract_z
Rb1 0.500 0.500 0.500
Hg1 0.000 0.000 0.000
Pd1 0.000 0.500 0.000
Pd2 0.000 0.000 0.500
Pd3 0.500 0.000 0.000
```

---

(2)
Material: RbHg9Pd2
Method: DFT, GGA-PBE
State: relaxed

## Properties
The value obtained for the magnetic moment is 0.00 μB/f.u. As for the space group: P6/mmm (191). The value obtained for the energy relative to the elements is -0.12 eV per atom. The electronic total energy comes out at -1.289 eV/atom. The density is 10.933 Mg/m³. The volume is 320 Å³/cell.

The structure in CIF format:
```
data_RbHg9Pd2
_symmetry_space_group_name_H-M 'P 1'
_symmetry_Int_Tables_number 1
_cell_length_a 4.184
_cell_length_b 9.391
_cell_length_c 9.391
_cell_angle_alpha 120.00
_cell_angle_beta 90.00
_cell_angle_gamma 90.00
loop_
_symmetry_equiv_pos_as_xyz
'x,y,z'
loop_
_atom_site_label
_atom_site_fract_x
_atom_site_fract_y
_atom_site_fract_z
Rb1 0.000 0.000 0.000
Hg1 0.500 0.799 0.201
Hg2 0.000 0.000 0.500
Hg3 0.000 0.500 0.500
Hg4 0.500 0.799 0.599
Hg5 0.500 0.201 0.799
Hg6 0.500 0.599 0.799
Hg7 0.500 0.201 0.401
Hg8 0.000 0.500 0.000
Hg9 0.500 0.401 0.201
Pd1 0.000 0.667 0.333
Pd2 0.000 0.333 0.667
```

---

(3)
Material: RbHgPd3
Method: DFT, GGA-PBE
State: relaxed

## Properties
The value obtained for the magnetic moment is 0.00 μB/f.u. As for the space group: Pm-3m (221). The value obtained for the energy relative to the elements is 1.29 eV per atom. The electronic total energy comes out at -2.083 eV/atom. The density is 7.145 Mg/m³. The energy relative to the lowest polymorph listed for this composition comes out at 4.20 eV/f.u. The volume is 141 Å³/cell.

The structure in CIF format:
```
data_RbHgPd3
_symmetry_space_group_name_H-M 'P 1'
_symmetry_Int_Tables_number 1
_cell_length_a 5.201
_cell_length_b 5.201
_cell_length_c 5.201
_cell_angle_alpha 90.00
_cell_angle_beta 90.00
_cell_angle_gamma 90.00
loop_
_symmetry_equiv_pos_as_xyz
'x,y,z'
loop_
_atom_site_label
_atom_site_fract_x
_atom_site_fract_y
_atom_site_fract_z
Rb1 0.000 0.000 0.000
Hg1 0.500 0.500 0.500
Pd1 0.000 0.500 0.000
Pd2 0.000 0.000 0.500
Pd3 0.500 0.000 0.000
```

---

(4)
Material: RbHg6Pd3
Method: DFT, GGA-PBE
State: relaxed

## Properties
The value obtained for the magnetic moment is 0.00 μB/f.u. As for the space group: P1 (1). The value obtained for the energy relative to the elements is -0.09 eV per atom. The electronic total energy comes out at -1.927 eV/atom. The density is 10.536 Mg/m³. The volume is 253 Å³/cell.

The structure in CIF format:
```
data_RbHg6Pd3
_symmetry_space_group_name_H-M 'P 1'
_symmetry_Int_Tables_number 1
_cell_length_a 6.434
_cell_length_b 6.447
_cell_length_c 7.995
_cell_angle_alpha 90.07
_cell_angle_beta 113.90
_cell_angle_gamma 120.06
loop_
_symmetry_equiv_pos_as_xyz
'x,y,z'
loop_
_atom_site_label
_atom_site_fract_x
_atom_site_fract_y
_atom_site_fract_z
Rb1 0.941 0.971 0.911
Hg1 0.264 0.388 0.663
Hg2 0.172 0.675 0.251
Hg3 0.760 0.087 0.251
Hg4 0.277 0.879 0.670
Hg5 0.789 0.399 0.672
Hg6 0.580 0.495 0.257
Pd1 0.637 0.325 0.963
Pd2 0.317 0.654 0.967
Pd3 0.262 0.127 0.394
```

---

(5)
Material: RbHgPd4
Method: DFT, GGA-PBE
State: relaxed

## Properties
The value obtained for the magnetic moment is 0.00 μB/f.u. As for the space group: F-43m (216). The value obtained for the energy relative to the elements is 0.12 eV per atom. The electronic total energy comes out at -3.555 eV/atom. The density is 9.805 Mg/m³. The volume is 121 Å³/cell.

The structure in CIF format:
```
data_RbHgPd4
_symmetry_space_group_name_H-M 'P 1'
_symmetry_Int_Tables_number 1
_cell_length_a 5.545
_cell_length_b 5.545
_cell_length_c 5.545
_cell_angle_alpha 60.00
_cell_angle_beta 60.00
_cell_angle_gamma 60.00
loop_
_symmetry_equiv_pos_as_xyz
'x,y,z'
loop_
_atom_site_label
_atom_site_fract_x
_atom_site_fract_y
_atom_site_fract_z
Rb1 0.250 0.250 0.250
Hg1 0.000 0.000 0.000
Pd1 0.626 0.626 0.122
Pd2 0.626 0.122 0.626
Pd3 0.626 0.626 0.626
Pd4 0.122 0.626 0.626
```

---

(6)
Material: RbHgPd
Method: DFT, GGA-PBE
State: relaxed

## Properties
The value obtained for the magnetic moment is 0.00 μB/f.u. As for the space group: Cmcm (63). The value obtained for the energy relative to the elements is -0.10 eV per atom. The electronic total energy comes out at -2.252 eV/atom. The density is 6.522 Mg/m³. The energy relative to the lowest polymorph listed for this composition comes out at 0.19 eV/f.u. The volume is 200 Å³/cell.

The structure in CIF format:
```
data_RbHgPd
_symmetry_space_group_name_H-M 'P 1'
_symmetry_Int_Tables_number 1
_cell_length_a 4.945
_cell_length_b 5.057
_cell_length_c 8.365
_cell_angle_alpha 90.00
_cell_angle_beta 107.19
_cell_angle_gamma 90.00
loop_
_symmetry_equiv_pos_as_xyz
'x,y,z'
loop_
_atom_site_label
_atom_site_fract_x
_atom_site_fract_y
_atom_site_fract_z
Rb1 0.403 0.250 0.307
Rb2 0.597 0.750 0.693
Hg1 0.826 0.750 0.153
Hg2 0.174 0.250 0.847
Pd1 0.249 0.750 0.997
Pd2 0.751 0.250 0.003
```

---

(7)
Material: Rb2Hg5Pd
Method: DFT, GGA-PBE
State: relaxed

## Properties
The value obtained for the magnetic moment is 0.00 μB/f.u. As for the space group: Pnma (62). The value obtained for the energy relative to the elements is -0.21 eV per atom. The electronic total energy comes out at -1.290 eV/atom. The density is 7.802 Mg/m³. The energy relative to the lowest polymorph listed for this composition comes out at 0.00 eV/f.u. The volume is 1090 Å³/cell.

The structure in CIF format:
```
data_Rb2Hg5Pd
_symmetry_space_group_name_H-M 'P 1'
_symmetry_Int_Tables_number 1
_cell_length_a 7.395
_cell_length_b 9.241
_cell_length_c 15.949
_cell_angle_alpha 90.00
_cell_angle_beta 90.00
_cell_angle_gamma 90.00
loop_
_symmetry_equiv_pos_as_xyz
'x,y,z'
loop_
_atom_site_label
_atom_site_fract_x
_atom_site_fract_y
_atom_site_fract_z
Rb1 0.750 0.533 0.312
Rb2 0.250 0.467 0.688
Rb3 0.250 0.967 0.812
Rb4 0.750 0.033 0.188
Rb5 0.750 0.812 0.565
Rb6 0.250 0.188 0.435
Rb7 0.250 0.688 0.065
Rb8 0.750 0.312 0.935
Hg1 0.750 0.631 0.087
Hg2 0.250 0.369 0.913
Hg3 0.250 0.869 0.587
Hg4 0.750 0.131 0.413
Hg5 0.513 0.628 0.856
Hg6 0.487 0.372 0.144
Hg7 0.487 0.872 0.356
Hg8 0.013 0.372 0.144
Hg9 0.513 0.128 0.644
Hg10 0.987 0.628 0.856
Hg11 0.987 0.128 0.644
Hg12 0.013 0.872 0.356
Hg13 0.500 0.000 0.000
Hg14 0.500 0.500 0.500
Hg15 0.000 0.000 0.000
Hg16 0.000 0.500 0.500
Hg17 0.750 0.951 0.790
Hg18 0.250 0.049 0.210
Hg19 0.250 0.549 0.290
Hg20 0.750 0.451 0.710
Pd1 0.750 0.807 0.945
Pd2 0.250 0.193 0.055
Pd3 0.250 0.693 0.445
Pd4 0.750 0.307 0.555
```

---

(8)
Material: RbHg2PdS
Method: DFT, GGA-PBE
State: relaxed

## Properties
The value obtained for the magnetic moment is 0.00 μB/f.u. As for the space group: P4/mmm (123). For the formation energy from raw total energies, the calculation gives -295 meV per atom. The electronic total energy comes out at -2.473 eV/atom. The density is 7.244 Mg/m³. The volume is 143 Å³/cell.

The structure in CIF format:
```
data_RbHg2PdS
_symmetry_space_group_name_H-M 'P 1'
_symmetry_Int_Tables_number 1
_cell_length_a 5.375
_cell_length_b 5.375
_cell_length_c 4.960
_cell_angle_alpha 90.00
_cell_angle_beta 90.00
_cell_angle_gamma 90.00
loop_
_symmetry_equiv_pos_as_xyz
'x,y,z'
loop_
_atom_site_label
_atom_site_fract_x
_atom_site_fract_y
_atom_site_fract_z
S1 0.000 0.000 0.500
Rb1 0.500 0.500 0.500
Hg1 0.000 0.500 0.000
Hg2 0.500 0.000 0.000
Pd1 0.000 0.000 0.000
```